First-principles (PBE+U) data for crystalline Tb2ZnCoO6 at its relaxed geometry, as listed in Alexandria via LeMat-Bulk.

The structure in CIF format:
```
data_Tb2ZnCoO6
_symmetry_space_group_name_H-M 'P 1 21/c 1'
_symmetry_Int_Tables_number 14
_symmetry_space_group_name_Hall '-P 2ybc'
_cell_length_a 5.2850
_cell_length_b 5.6339
_cell_length_c 9.1910
_cell_angle_alpha 90.00
_cell_angle_beta 124.94
_cell_angle_gamma 90.00
loop_
_atom_site_label
_atom_site_fract_x
_atom_site_fract_y
_atom_site_fract_z
Tb1 0.2285 0.0731 0.2490
Zn1 0.0000 0.0000 0.5000
Co1 0.5000 0.0000 0.0000
O1 0.1552 0.1847 0.9493
O2 0.2627 0.7117 0.9431
O3 0.3671 0.0355 0.7607
```

Properties
- E_tot (eV per atom) = -6.827
- crystal system = monoclinic